# 1
## KLaCl4 (PBE-GGA)

Data for a geometry-optimized KLaCl4 structure.

a b c (Å): 6.0803 6.0803 6.0803
angles (deg): 60.00 60.00 60.00
Positions (direct):
K: 0.0000 0.0000 0.0000
La: 0.7500 0.7500 0.7500
Cl: 0.3751 0.3751 0.3751
Cl: 0.3751 0.3751 0.8748
Cl: 0.3751 0.8748 0.3751
Cl: 0.8748 0.3751 0.3751

V = 26.5 A^3/atom
DFT total energy = -3.144 eV per atom
ΔE to the lowest computed polymorph = 1.364 eV/atom
space group = F-43m (216)


# 2
## KLa2Cl (PBE-GGA)

Data for a geometry-optimized KLa2Cl structure.

a b c (Å): 6.0071 6.0071 6.0071
angles (deg): 60.00 60.00 60.00
Positions (direct):
K: 0.0000 0.0000 0.0000
La: 0.5000 0.5000 0.5000
La: 0.7500 0.7500 0.7500
Cl: 0.2500 0.2500 0.2500

V = 38.3 A^3/atom
DFT total energy = -3.057 eV per atom
ΔE to the lowest computed polymorph = 0.831 eV/atom
space group = F-43m (216)


# 3
## KLa2Cl (PBE-GGA)

Data for a geometry-optimized KLa2Cl structure.

a b c (Å): 3.7575 3.7575 12.4055
angles (deg): 90.00 90.00 120.25
Positions (direct):
K: 0.0000 0.0000 0.0000
La: 0.5000 0.5000 0.3083
La: 0.5000 0.5000 0.6917
Cl: 0.0000 0.0000 0.5000

V = 37.8 A^3/atom
DFT total energy = -3.655 eV per atom
ΔE to the lowest computed polymorph = 0.233 eV/atom
space group = Cmmm (65)


# 4
## KLa2Cl (PBE-GGA)

Data for a geometry-optimized KLa2Cl structure.

a b c (Å): 7.9208 7.9208 7.9208
angles (deg): 153.83 140.74 47.80
Positions (direct):
K: 0.0000 0.0000 0.0000
La: 0.3023 0.8023 0.5000
La: 0.6977 0.1977 0.5000
Cl: 0.5000 0.5000 0.0000

V = 34.6 A^3/atom
DFT total energy = -3.748 eV per atom
ΔE to the lowest computed polymorph = 0.140 eV/atom
space group = Immm (71)


# 5
## KLaCl4 (PBE-GGA)

Data for a geometry-optimized KLaCl4 structure.

a b c (Å): 8.2990 8.2990 7.2726
angles (deg): 109.38 109.38 108.90
Positions (direct):
K: 0.1394 0.8606 0.7500
K: 0.8606 0.1394 0.2500
La: 0.4866 0.5134 0.2500
La: 0.5134 0.4866 0.7500
Cl: 0.1696 0.2843 0.7824
Cl: 0.2387 0.5582 0.4418
Cl: 0.2843 0.1696 0.2824
Cl: 0.4418 0.7613 0.0582
Cl: 0.5582 0.2387 0.9418
Cl: 0.7157 0.8304 0.7176
Cl: 0.7613 0.4418 0.5582
Cl: 0.8304 0.7157 0.2176

V = 32.4 A^3/atom
DFT total energy = -4.432 eV per atom
ΔE to the lowest computed polymorph = 0.077 eV/atom
space group = C2/c (15)


# 6
## KLa2Cl (PBE-GGA)

Data for a geometry-optimized KLa2Cl structure.

a b c (Å): 3.8042 6.5954 5.5746
angles (deg): 90.00 92.95 90.00
Positions (direct):
K: 0.0000 0.0000 0.0000
La: 0.3161 0.5000 0.7303
La: 0.6839 0.5000 0.2697
Cl: 0.5000 0.0000 0.5000

V = 34.9 A^3/atom
DFT total energy = -3.533 eV per atom
ΔE to the lowest computed polymorph = 0.355 eV/atom
space group = P2/m (10)


# 7
## KLa2Cl (PBE-GGA)

Data for a geometry-optimized KLa2Cl structure.

a b c (Å): 5.8275 5.8275 5.8275
angles (deg): 60.00 60.00 60.00
Positions (direct):
K: 0.0000 0.0000 0.0000
La: 0.2500 0.2500 0.2500
La: 0.7500 0.7500 0.7500
Cl: 0.5000 0.5000 0.5000

V = 35.0 A^3/atom
DFT total energy = -3.075 eV per atom
ΔE to the lowest computed polymorph = 0.814 eV/atom
space group = Fm-3m (225)


# 8
## KLa2Cl8 (PBE-GGA)

Data for a geometry-optimized KLa2Cl8 structure.

a b c (Å): 8.2450 8.2450 5.4127
angles (deg): 90.13 90.13 64.79
Positions (direct):
K: 0.0000 0.0000 0.0000
La: 0.3017 0.3017 0.4996
La: 0.6983 0.6983 0.5004
Cl: 0.0594 0.6739 0.5016
Cl: 0.2525 0.2525 0.9993
Cl: 0.3261 0.9406 0.4984
Cl: 0.4998 0.4998 0.2454
Cl: 0.5002 0.5002 0.7546
Cl: 0.6739 0.0594 0.5016
Cl: 0.7475 0.7475 0.0007
Cl: 0.9406 0.3261 0.4984

V = 30.3 A^3/atom
DFT total energy = -4.421 eV per atom
space group = C2/m (12)


# 9
## KLaCl4 (PBE-GGA)

Data for a geometry-optimized KLaCl4 structure.

a b c (Å): 7.6577 4.4385 19.3650
angles (deg): 90.00 90.00 90.00
Positions (direct):
K: 0.2121 0.2500 0.2062
K: 0.2879 0.7500 0.7062
K: 0.7121 0.2500 0.2938
K: 0.7879 0.7500 0.7938
La: 0.2482 0.7500 0.4382
La: 0.2518 0.2500 0.9382
La: 0.7482 0.7500 0.0618
La: 0.7518 0.2500 0.5618
Cl: 0.0099 0.2500 0.0634
Cl: 0.0898 0.2500 0.3623
Cl: 0.0928 0.2500 0.8022
Cl: 0.1424 0.2500 0.5364
Cl: 0.3576 0.7500 0.0364
Cl: 0.4072 0.7500 0.3022
Cl: 0.4102 0.7500 0.8623
Cl: 0.4901 0.7500 0.5634
Cl: 0.5099 0.2500 0.4366
Cl: 0.5898 0.2500 0.1377
Cl: 0.5928 0.2500 0.6978
Cl: 0.6424 0.2500 0.9636
Cl: 0.8576 0.7500 0.4636
Cl: 0.9072 0.7500 0.1978
Cl: 0.9102 0.7500 0.6377
Cl: 0.9901 0.7500 0.9366

V = 27.4 A^3/atom
DFT total energy = -4.508 eV per atom
ΔE to the lowest computed polymorph = 0.000 eV/atom
space group = Pnma (62)


# 10
## KLa2Cl (PBE-GGA)

Data for a geometry-optimized KLa2Cl structure.

a b c (Å): 7.1003 7.1003 3.7132
angles (deg): 90.00 90.00 126.54
Positions (direct):
K: 0.0000 0.0000 0.0000
La: 0.0000 0.5000 0.5000
La: 0.5000 0.0000 0.5000
Cl: 0.5000 0.5000 0.0000

V = 37.6 A^3/atom
DFT total energy = -3.311 eV per atom
ΔE to the lowest computed polymorph = 0.578 eV/atom
space group = Cmmm (65)


# 11
## KLa2Cl (PBE-GGA)

Data for a geometry-optimized KLa2Cl structure.

a b c (Å): 8.1662 8.1662 8.1662
angles (deg): 147.75 147.75 46.26
Positions (direct):
K: 0.0000 0.0000 0.0000
La: 0.2500 0.7500 0.5000
La: 0.7500 0.2500 0.5000
Cl: 0.5000 0.5000 0.0000

V = 38.6 A^3/atom
DFT total energy = -3.435 eV per atom
ΔE to the lowest computed polymorph = 0.454 eV/atom
space group = I4/mmm (139)


# 12
## KLa2Cl (PBE-GGA)

Data for a geometry-optimized KLa2Cl structure.

a b c (Å): 3.5265 3.5265 11.4761
angles (deg): 90.00 90.00 90.00
Positions (direct):
K: 0.0000 0.0000 0.0000
La: 0.5000 0.5000 0.3256
La: 0.5000 0.5000 0.6744
Cl: 0.0000 0.0000 0.5000

V = 35.7 A^3/atom
DFT total energy = -3.569 eV per atom
ΔE to the lowest computed polymorph = 0.319 eV/atom
space group = P4/mmm (123)


In meV/atom, the ΔE_f (raw) values for the records above are, in order, -909, 143, -455, -549, -2196, -333, 125, -2082, -2273, -111, -235, -369.
In states/eV per atom, the DOS(E_F) values for the records above are, in order, 1.12, 1.14, 1.46, 1.49, 0.00, 0.81, 1.26, 0.69, 0.00, 1.45, 1.53, 1.18.